First-principles (PBE-GGA) data for a geometry-optimized Fe2CoPt structure, as listed in the Alexandria database.

Cell lengths 4.086, 4.086, 4.086 Å; angles 60.00, 60.00, 60.00 degrees
Fractional coordinates of all 4 atoms:
Fe1 0.250 0.250 0.250
Fe2 0.750 0.750 0.750
Co1 0.000 0.000 0.000
Pt1 0.500 0.500 0.500

## Properties
V: 48 Å³/f.u.
M_tot: 0.0 μB/cell
DFT total energy: -7.049 eV/atom

***

First-principles (PBE-GGA) data for a geometry-optimized Li15Zn6Ir structure, as listed in the Alexandria database.

Cell lengths 6.688, 7.309, 7.586 Å; angles 96.71, 101.14, 91.00 degrees
Fractional coordinates of all 22 atoms:
Li1 0.000 0.000 0.000
Li2 0.000 0.500 0.500
Li3 0.096 0.338 0.894
Li4 0.126 0.148 0.378
Li5 0.251 0.457 0.231
Li6 0.254 0.018 0.748
Li7 0.331 0.822 0.171
Li8 0.400 0.680 0.581
Li9 0.500 0.000 0.500
Li10 0.600 0.320 0.419
Li11 0.669 0.178 0.829
Li12 0.746 0.982 0.252
Li13 0.749 0.543 0.769
Li14 0.874 0.852 0.622
Li15 0.904 0.662 0.106
Zn1 0.181 0.671 0.847
Zn2 0.362 0.353 0.674
Zn3 0.431 0.164 0.078
Zn4 0.569 0.836 0.922
Zn5 0.638 0.647 0.326
Zn6 0.819 0.329 0.153
Ir1 0.500 0.500 0.000

## Properties
V: 361 Å³/f.u.
M_tot: 0.0 μB/cell
DFT total energy: -2.155 eV/atom